1.
Compound: YSc3Co
Source: the Alexandria database
Functional: PBE-GGA
Structure: relaxed

abc: 6.7220 7.3386 9.5515
angles: 105.74 90.00 90.00
Positions (direct):
Co: 0.7577 0.0549 0.8892
Sc: 0.1267 0.0935 0.4002
Sc: 0.7039 0.4178 0.9677
Sc: 0.8733 0.9065 0.5998
Y: 0.5468 0.6886 0.7561
Sc: 0.9834 0.1985 0.1205
Sc: 0.3733 0.0935 0.9002
Sc: 0.0166 0.8015 0.8795
Co: 0.2424 0.9451 0.1108
Y: 0.0468 0.3114 0.7439
Y: 0.9532 0.6886 0.2561
Sc: 0.4834 0.8015 0.3795
Sc: 0.2039 0.5822 0.5323
Sc: 0.7961 0.4178 0.4677
Sc: 0.2961 0.5822 0.0323
Co: 0.2576 0.9451 0.6108
Co: 0.7423 0.0549 0.3892
Sc: 0.6267 0.9065 0.0998
Y: 0.4532 0.3114 0.2439
Sc: 0.5166 0.1985 0.6205

Summary:
The calculation puts the total magnetic moment at 0.01 μB per cell. The energy relative to the lowest polymorph listed for this composition is 0.0044 eV/atom.



2.
Compound: YSc4Co
Source: the Alexandria database
Functional: PBE-GGA
Structure: relaxed

abc: 6.0358 5.5849 10.0137
angles: 116.40 107.59 89.99
Positions (direct):
Y: 0.1738 0.2499 0.9999
Sc: 0.4727 0.9381 0.2240
Sc: 0.7511 0.4379 0.2239
Sc: 0.0677 0.0487 0.3809
Co: 0.5000 0.0000 0.5000
Sc: 0.2489 0.5621 0.7761
Y: 0.8262 0.7501 0.0001
Co: 0.0000 0.5000 0.5000
Sc: 0.3132 0.5485 0.3807
Sc: 0.6868 0.4515 0.6193
Sc: 0.9323 0.9513 0.6191
Sc: 0.5273 0.0619 0.7760

Summary:
The calculation puts the total magnetic moment at 0.01 μB per cell. The energy relative to the lowest polymorph listed for this composition is 0.0000 eV/atom.



3.
Compound: Y2ScCo
Source: the Alexandria database
Functional: PBE-GGA
Structure: relaxed

abc: 8.1662 8.1662 6.5025
angles: 51.10 51.10 90.00
Positions (direct):
Co: 0.7500 0.2500 0.5000
Y: 0.7011 0.1250 0.2500
Sc: 0.5000 0.5000 0.0000
Y: 0.8750 0.9511 0.7500
Sc: 0.2500 0.7500 0.5000
Co: 0.0000 0.0000 0.0000
Y: 0.3750 0.2989 0.7500
Y: 0.0489 0.6250 0.2500

Summary:
The calculation puts the total magnetic moment at 0.00 μB per cell. The energy relative to the lowest polymorph listed for this composition is 0.3373 eV/atom.



4.
Compound: YScCo2
Source: the Alexandria database
Functional: PBE-GGA
Structure: relaxed

abc: 3.2578 4.5753 4.5753
angles: 90.00 90.00 90.00
Positions (direct):
Co: 0.0000 0.5000 0.0000
Co: 0.0000 0.0000 0.5000
Sc: 0.5000 0.5000 0.5000
Y: 0.5000 0.0000 0.0000

Summary:
The calculation puts the total magnetic moment at 0.61 μB per cell. The energy relative to the lowest polymorph listed for this composition is 0.0170 eV/atom.



5.
Compound: YSc2Co
Source: the Alexandria database
Functional: PBE-GGA
Structure: relaxed

abc: 5.9335 5.9335 5.9335
angles: 147.15 129.50 61.57
Positions (direct):
Y: 0.7500 0.2500 0.5000
Co: 0.2500 0.7500 0.5000
Sc: 0.0542 0.0542 0.0000
Sc: 0.4458 0.4458 0.0000

Summary:
The calculation puts the total magnetic moment at 0.00 μB per cell. The energy relative to the lowest polymorph listed for this composition is 0.0507 eV/atom.



6.
Compound: YSc2Co
Source: the Alexandria database
Functional: PBE-GGA
Structure: relaxed

abc: 4.9048 4.9048 4.9048
angles: 120.03 120.03 89.94
Positions (direct):
Sc: 0.0000 0.0000 0.0000
Co: 0.7500 0.2500 0.5000
Y: 0.5000 0.5000 0.0000
Sc: 0.2500 0.7500 0.5000

Summary:
The calculation puts the total magnetic moment at 0.00 μB per cell. The energy relative to the lowest polymorph listed for this composition is 0.3468 eV/atom.



Which of these has the highest energy relative to the lowest polymorph listed for this composition?
number 6



What is the energy relative to the lowest polymorph listed for this composition in the second record?
0.0000 eV/atom



The highest energy relative to the lowest polymorph listed for this composition belongs to which entry?
number 6



Number 6 is which compound?
YSc2Co